# 1
## Li8Hg3Pd (GGA-PBE)

Data for a geometry-optimized Li8Hg3Pd structure.

Values from the calculation:
- formation enthalpy at 0 K (eV/atom) = -0.295

Lattice parameters (Å, degrees): 8.522 7.676 5.855 76.32 69.36 130.68
Fractional coordinates of all 12 atoms:
Li  0.378  0.265  0.663
Li  0.394  0.607  0.330
Li  0.883  0.258  0.918
Li  0.375  0.914  0.995
Li  0.868  0.898  0.768
Li  0.869  0.580  0.104
Li  0.400  0.605  0.797
Li  0.328  0.208  0.184
Hg  0.837  0.558  0.613
Hg  0.913  0.255  0.405
Hg  0.375  0.931  0.499
Pd  0.880  0.921  0.222

***

# 2
## Rb3Pm2TmTe6 (GGA-PBE)

Data for a geometry-optimized Rb3Pm2TmTe6 structure.

Values from the calculation:
- raw formation energy (eV/atom) = -1.39

Lattice parameters (Å, degrees): 7.928 7.928 8.960 98.48 98.48 120.01
Fractional coordinates of all 12 atoms:
Rb  0.169  0.831  0.500
Rb  0.831  0.169  0.500
Rb  0.500  0.500  0.500
Pm  0.334  0.666  0.000
Pm  0.666  0.334  0.000
Tm  0.000  0.000  0.000
Te  0.933  0.608  0.799
Te  0.743  0.743  0.202
Te  0.067  0.392  0.201
Te  0.608  0.933  0.799
Te  0.257  0.257  0.798
Te  0.392  0.067  0.201

***

# 3
## K2LaFe (GGA-PBE)

Data for a geometry-optimized K2LaFe structure.

Values from the calculation:
- ΔE to the lowest computed polymorph (meV/atom) = 366
- formation enthalpy at 0 K (eV/atom) = 0.820

Lattice parameters (Å, degrees): 6.788 4.572 4.572 90.00 90.00 90.00
Last column: magnetic moment on the atom in μB.
Fractional coordinates of all 4 atoms:
Fe  0.500  0.000  0.500  2.76
K  0.000  0.000  0.000  -0.03
K  0.000  0.500  0.500  -0.03
La  0.500  0.500  0.000  -0.42

***

# 4
## Cd3Pt (GGA-PBE)

Data for a geometry-optimized Cd3Pt structure.

Values from the calculation:
- formation enthalpy at 0 K (eV/atom) = -0.131

Lattice parameters (Å, degrees): 6.101 6.101 4.888 90.00 90.00 122.01
Fractional coordinates of all 8 atoms:
Cd  0.584  0.416  0.750
Cd  0.598  0.918  0.750
Cd  0.082  0.402  0.750
Cd  0.416  0.584  0.250
Cd  0.402  0.082  0.250
Cd  0.918  0.598  0.250
Pt  0.093  0.907  0.750
Pt  0.907  0.093  0.250

***

# 5
## Li2YEr3Se6 (GGA-PBE)

Data for a geometry-optimized Li2YEr3Se6 structure.

Values from the calculation:
- raw formation energy (eV/atom) = -1.72

Lattice parameters (Å, degrees): 6.951 6.951 6.972 99.58 99.58 119.98
Fractional coordinates of all 12 atoms:
Li  0.332  0.668  0.000
Li  0.668  0.332  0.000
Y  0.000  0.000  0.000
Er  0.166  0.834  0.500
Er  0.834  0.166  0.500
Er  0.500  0.500  0.500
Se  0.918  0.578  0.755
Se  0.742  0.742  0.246
Se  0.082  0.422  0.245
Se  0.578  0.918  0.755
Se  0.258  0.258  0.754
Se  0.422  0.082  0.245

***

# 6
## Tb2ErP3Rh12 (GGA-PBE)

Data for a geometry-optimized Tb2ErP3Rh12 structure.

Values from the calculation:
- formation enthalpy at 0 K (eV/atom) = -0.411

Lattice parameters (Å, degrees): 6.706 6.706 6.706 83.73 83.73 83.73
Fractional coordinates of all 18 atoms:
Tb  0.628  0.628  0.628
Tb  0.372  0.372  0.372
Er  0.000  0.000  0.000
P  0.500  0.000  0.000
P  0.000  0.500  0.000
P  0.000  0.000  0.500
Rh  0.369  0.369  0.908
Rh  0.821  0.821  0.336
Rh  0.336  0.821  0.821
Rh  0.908  0.369  0.369
Rh  0.821  0.336  0.821
Rh  0.369  0.908  0.369
Rh  0.631  0.631  0.092
Rh  0.179  0.179  0.664
Rh  0.664  0.179  0.179
Rh  0.092  0.631  0.631
Rh  0.179  0.664  0.179
Rh  0.631  0.092  0.631

***

# 7
## Fe2Ni9N8 (GGA-PBE)

Data for a geometry-optimized Fe2Ni9N8 structure.

Values from the calculation:
- raw formation energy (eV/atom) = 0.30

Lattice parameters (Å, degrees): 9.287 9.287 7.102 71.12 71.12 21.53
Fractional coordinates of all 19 atoms:
Fe  0.817  0.817  0.196
Fe  0.183  0.183  0.804
Ni  0.500  0.500  0.500
Ni  0.979  0.979  0.842
Ni  0.021  0.021  0.158
Ni  0.640  0.640  0.144
Ni  0.360  0.360  0.856
Ni  0.603  0.603  0.682
Ni  0.397  0.397  0.318
Ni  0.191  0.191  0.337
Ni  0.809  0.809  0.663
N  0.858  0.858  0.390
N  0.142  0.142  0.610
N  0.870  0.870  0.937
N  0.130  0.130  0.063
N  0.718  0.718  0.257
N  0.282  0.282  0.743
N  0.495  0.495  0.756
N  0.505  0.505  0.244

***

# 8
## NdGaPdPt (GGA-PBE)

Data for a geometry-optimized NdGaPdPt structure.

Values from the calculation:
- ΔE to the lowest computed polymorph (meV/atom) = 9
- formation enthalpy at 0 K (eV/atom) = -0.735

Lattice parameters (Å, degrees): 4.798 4.798 4.798 60.00 60.00 60.00
Fractional coordinates of all 4 atoms:
Ga  0.500  0.500  0.500
Nd  0.000  0.000  0.000
Pd  0.750  0.750  0.750
Pt  0.250  0.250  0.250

***

no.,size of the total moment (μB per cell)
1,0.0
2,0.0
3,1.5
4,0.0
5,0.0
6,0.0
7,0.0
8,0.0